Material: Ce2InBi9
Method: DFT, GGA-PBE
State: optimized geometry

Values from the calculation:
E_tot: -4.408 eV/atom
DOS(E_F): 1.08 states/eV per atom
size of the total moment: 1.39 μB per formula unit

a = 4.8570 Å, b = 4.8570 Å, c = 15.6179 Å
α = 90.00°, β = 90.00°, γ = 90.00°
Fractional positions:
Ce (0.0000, 0.0000, 0.3399)
Ce (0.0000, 0.0000, 0.6601)
In (0.0000, 0.0000, 0.0000)
Bi (0.5000, 0.5000, 0.0000)
Bi (0.5000, 0.5000, 0.3325)
Bi (0.5000, 0.5000, 0.6675)
Bi (0.5000, 0.0000, 0.1697)
Bi (0.5000, 0.0000, 0.5000)
Bi (0.5000, 0.0000, 0.8303)
Bi (0.0000, 0.5000, 0.1697)
Bi (0.0000, 0.5000, 0.5000)
Bi (0.0000, 0.5000, 0.8303)